Record 1
This record from the Alexandria database describes an optimized crystal structure of Be2SiH6. The functional is GGA-PBE.

The calculated total energy comes out at -0.217 Ry per atom. For the density, the calculation gives 1.59 Mg/m³.

Geometry as CIF:
```
data_Be2SiH6
_cell_length_a 6.0132
_cell_length_b 6.0132
_cell_length_c 6.0132
_cell_angle_alpha 90.00
_cell_angle_beta 90.00
_cell_angle_gamma 90.00
_symmetry_space_group_name_H-M 'F m -3 m'
_symmetry_Int_Tables_number 225
_symmetry_space_group_name_Hall '-F 4 2 3'
loop_
_atom_site_label
_atom_site_fract_x
_atom_site_fract_y
_atom_site_fract_z
Be1 0.2500 0.2500 0.2500
Si1 0.0000 0.0000 0.0000
H1 0.0000 0.0000 0.2672
```

Record 2
This record from the Alexandria database describes an optimized crystal structure of YIr2Au. The functional is GGA-PBE.

For the energy above the most stable polymorph in this dataset, the calculation gives 3.46 kcal/mol of atoms. As for the energy of formation: -0.91 eV/f.u. The calculated total energy comes out at -0.521 Ry per atom. For the density, the calculation gives 15.62 Mg/m³.

Geometry as CIF:
```
data_YIr2Au
_cell_length_a 4.1083
_cell_length_b 4.1083
_cell_length_c 8.4457
_cell_angle_alpha 90.00
_cell_angle_beta 90.00
_cell_angle_gamma 90.00
_symmetry_space_group_name_H-M 'I -4 m 2'
_symmetry_Int_Tables_number 119
_symmetry_space_group_name_Hall 'I -4 -2'
loop_
_atom_site_label
_atom_site_fract_x
_atom_site_fract_y
_atom_site_fract_z
Y1 0.0000 0.0000 0.0000
Ir1 0.0000 0.0000 0.5000
Ir2 0.0000 0.5000 0.2500
Au1 0.0000 0.5000 0.7500
```

Record 3
This record from the Alexandria database describes an optimized crystal structure of FeTeIr2. The functional is GGA-PBE.

The calculated total energy comes out at -0.510 Ry per atom. The raw formation energy is 0.40 eV/atom. For the density, the calculation gives 14.42 Mg/m³.

Geometry as CIF:
```
data_FeTeIr2
_cell_length_a 8.8389
_cell_length_b 3.0389
_cell_length_c 4.9356
_cell_angle_alpha 90.00
_cell_angle_beta 99.35
_cell_angle_gamma 90.00
_symmetry_space_group_name_H-M 'C 1 m 1'
_symmetry_Int_Tables_number 8
loop_
_symmetry_equiv_pos_as_xyz
'x,y,z'
'x,-y,z'
'x+1/2,y+1/2,z'
'x+1/2,-y+1/2,z'
loop_
_atom_site_label
_atom_site_fract_x
_atom_site_fract_y
_atom_site_fract_z
Fe1 0.0000 0.0000 0.0000
Te1 0.2697 0.5000 0.3060
Ir1 0.0192 0.5000 0.5627
Ir2 0.2639 0.0000 0.8384
```

Record 4
This record from the Alexandria database describes an optimized crystal structure of CaMgHg. The functional is GGA-PBE.

As for the energy of formation: -0.74 eV/f.u. The calculated total energy comes out at -0.114 Ry per atom. For the density, the calculation gives 4.89 Mg/m³.

Geometry as CIF:
```
data_CaMgHg
_cell_length_a 7.1113
_cell_length_b 7.1113
_cell_length_c 7.1113
_cell_angle_alpha 90.00
_cell_angle_beta 90.00
_cell_angle_gamma 90.00
_symmetry_space_group_name_H-M 'F -4 3 m'
_symmetry_Int_Tables_number 216
_symmetry_space_group_name_Hall 'F -4 2 3'
loop_
_atom_site_label
_atom_site_fract_x
_atom_site_fract_y
_atom_site_fract_z
Ca1 0.0000 0.0000 0.0000
Mg1 0.0000 0.0000 0.5000
Hg1 0.2500 0.2500 0.2500
```

Record 5
This record from the Alexandria database describes an optimized crystal structure of MgNi2Sb. The functional is GGA-PBE.

The calculated total energy comes out at -0.330 Ry per atom. The raw formation energy is -0.17 eV/atom. For the density, the calculation gives 6.84 Mg/m³.

Geometry as CIF:
```
data_MgNi2Sb
_cell_length_a 3.4360
_cell_length_b 4.0397
_cell_length_c 4.9123
_cell_angle_alpha 90.00
_cell_angle_beta 110.24
_cell_angle_gamma 90.00
_symmetry_space_group_name_H-M 'P 1 m 1'
_symmetry_Int_Tables_number 6
loop_
_symmetry_equiv_pos_as_xyz
'x,y,z'
'x,-y,z'
loop_
_atom_site_label
_atom_site_fract_x
_atom_site_fract_y
_atom_site_fract_z
Mg1 0.0000 0.0000 0.0000
Ni1 0.5633 0.5000 0.1298
Ni2 0.7170 0.0000 0.4359
Sb1 0.2808 0.5000 0.5689
```

Record 6
This record from the Alexandria database describes an optimized crystal structure of PmMg3Hg4. The functional is GGA-PBE.

As for the energy of formation: -2.66 eV/f.u. The calculated total energy comes out at -0.123 Ry per atom. For the density, the calculation gives 9.26 Mg/m³.

Geometry as CIF:
```
data_PmMg3Hg4
_cell_length_a 4.9223
_cell_length_b 4.9223
_cell_length_c 7.5484
_cell_angle_alpha 90.00
_cell_angle_beta 90.00
_cell_angle_gamma 90.00
_symmetry_space_group_name_H-M 'P 4/m m m'
_symmetry_Int_Tables_number 123
_symmetry_space_group_name_Hall '-P 4 2'
loop_
_atom_site_label
_atom_site_fract_x
_atom_site_fract_y
_atom_site_fract_z
Pm1 0.0000 0.0000 0.0000
Mg1 0.0000 0.0000 0.5000
Mg2 0.5000 0.5000 0.0000
Mg3 0.5000 0.5000 0.5000
Hg1 0.0000 0.5000 0.2668
```

Record 7
This record from the Alexandria database describes an optimized crystal structure of In2FeC. The functional is GGA-PBE.

As for the energy of formation: 2.81 eV/f.u. The calculated total energy comes out at -0.374 Ry per atom. For the density, the calculation gives 6.79 Mg/m³.

Geometry as CIF:
```
data_In2FeC
_cell_length_a 8.9309
_cell_length_b 8.9309
_cell_length_c 3.6469
_cell_angle_alpha 90.00
_cell_angle_beta 90.00
_cell_angle_gamma 90.00
_symmetry_space_group_name_H-M 'I -4 2 d'
_symmetry_Int_Tables_number 122
_symmetry_space_group_name_Hall 'I -4 2bw'
loop_
_atom_site_label
_atom_site_fract_x
_atom_site_fract_y
_atom_site_fract_z
In1 0.0995 0.7500 0.1250
Fe1 0.0000 0.0000 0.5000
C1 0.0000 0.0000 0.0000
```

Record 8
This record from the Alexandria database describes an optimized crystal structure of Ac4Ga5Ag3. The functional is GGA-PBE.

As for the energy of formation: -4.21 eV/f.u. The calculated total energy comes out at -0.272 Ry per atom. For the density, the calculation gives 7.71 Mg/m³.

Geometry as CIF:
```
data_Ac4Ga5Ag3
_cell_length_a 15.3832
_cell_length_b 4.7317
_cell_length_c 10.5844
_cell_angle_alpha 90.00
_cell_angle_beta 117.89
_cell_angle_gamma 90.00
_symmetry_space_group_name_H-M 'C 1 2/m 1'
_symmetry_Int_Tables_number 12
loop_
_symmetry_equiv_pos_as_xyz
'x,y,z'
'-x,-y,-z'
'-x,y,-z'
'x,-y,z'
'x+1/2,y+1/2,z'
'-x+1/2,-y+1/2,-z'
'-x+1/2,y+1/2,-z'
'x+1/2,-y+1/2,z'
loop_
_atom_site_label
_atom_site_fract_x
_atom_site_fract_y
_atom_site_fract_z
Ac1 0.0387 0.0000 0.3300
Ac2 0.2376 0.5000 0.2205
Ga1 0.0000 0.5000 0.0000
Ga2 0.0885 0.5000 0.5977
Ga3 0.2204 0.5000 0.5227
Ag1 0.0000 0.0000 0.0000
Ag2 0.1222 0.5000 0.8715
```

Record 9
This record from the Alexandria database describes an optimized crystal structure of KLaIr2. The functional is GGA-PBE.

For the energy above the most stable polymorph in this dataset, the calculation gives 15.33 kcal/mol of atoms. As for the energy of formation: 2.02 eV/f.u. The calculated total energy comes out at -0.399 Ry per atom. For the density, the calculation gives 10.78 Mg/m³.

Geometry as CIF:
```
data_KLaIr2
_cell_length_a 4.3850
_cell_length_b 4.3850
_cell_length_c 9.0124
_cell_angle_alpha 90.00
_cell_angle_beta 90.00
_cell_angle_gamma 90.00
_symmetry_space_group_name_H-M 'I -4 m 2'
_symmetry_Int_Tables_number 119
_symmetry_space_group_name_Hall 'I -4 -2'
loop_
_atom_site_label
_atom_site_fract_x
_atom_site_fract_y
_atom_site_fract_z
K1 0.0000 0.0000 0.0000
La1 0.0000 0.5000 0.7500
Ir1 0.0000 0.0000 0.5000
Ir2 0.0000 0.5000 0.2500
```

Record 10
This record from the Alexandria database describes an optimized crystal structure of PaNbCr. The functional is GGA-PBE.

For the energy above the most stable polymorph in this dataset, the calculation gives 4.39 kcal/mol of atoms. As for the energy of formation: 1.37 eV/f.u. The calculated total energy comes out at -0.682 Ry per atom. For the density, the calculation gives 10.73 Mg/m³.

Geometry as CIF:
```
data_PaNbCr
_cell_length_a 5.0144
_cell_length_b 5.0144
_cell_length_c 16.0361
_cell_angle_alpha 90.00
_cell_angle_beta 90.00
_cell_angle_gamma 120.00
_symmetry_space_group_name_H-M 'R -3 m'
_symmetry_Int_Tables_number 166
_symmetry_space_group_name_Hall '-R 3 2"'
loop_
_atom_site_label
_atom_site_fract_x
_atom_site_fract_y
_atom_site_fract_z
Pa1 0.0000 0.0000 0.1172
Nb1 0.0000 0.0000 0.4139
Cr1 0.0000 0.0000 0.2626
```

Record 11
This record from the Alexandria database describes an optimized crystal structure of Tb16Sm6Ho7. The functional is GGA-PBE.

As for the energy of formation: 6.74 eV/f.u. The calculated total energy comes out at -0.324 Ry per atom. For the density, the calculation gives 7.79 Mg/m³.

Geometry as CIF:
```
data_Tb16Sm6Ho7
_cell_length_a 15.7682
_cell_length_b 15.7682
_cell_length_c 15.7682
_cell_angle_alpha 90.00
_cell_angle_beta 90.00
_cell_angle_gamma 90.00
_symmetry_space_group_name_H-M 'F m -3 m'
_symmetry_Int_Tables_number 225
_symmetry_space_group_name_Hall '-F 4 2 3'
loop_
_atom_site_label
_atom_site_fract_x
_atom_site_fract_y
_atom_site_fract_z
Tb1 0.1243 0.1243 0.1243
Tb2 0.1518 0.1518 0.3482
Sm1 0.0000 0.0000 0.2768
Ho1 0.0000 0.0000 0.0000
Ho2 0.0000 0.2500 0.2500
```

Record 12
This record from the Alexandria database describes an optimized crystal structure of CuNiAsBr2. The functional is GGA-PBE.

For the energy above the most stable polymorph in this dataset, the calculation gives 0.00 kcal/mol of atoms. The calculated total energy comes out at -0.227 Ry per atom. The raw formation energy is 0.49 eV/atom. For the density, the calculation gives 5.16 Mg/m³.

Geometry as CIF:
```
data_CuNiAsBr2
_cell_length_a 5.0835
_cell_length_b 5.0835
_cell_length_c 4.4435
_cell_angle_alpha 90.00
_cell_angle_beta 90.00
_cell_angle_gamma 90.00
_symmetry_space_group_name_H-M 'P 4/m m m'
_symmetry_Int_Tables_number 123
_symmetry_space_group_name_Hall '-P 4 2'
loop_
_atom_site_label
_atom_site_fract_x
_atom_site_fract_y
_atom_site_fract_z
Cu1 0.0000 0.0000 0.0000
Ni1 0.5000 0.5000 0.5000
As1 0.5000 0.5000 0.0000
Br1 0.0000 0.5000 0.5000
```

Record 13
This record from the Alexandria database describes an optimized crystal structure of Zr2RuPt. The functional is GGA-PBE.

As for the energy of formation: -2.38 eV/f.u. The calculated total energy comes out at -0.639 Ry per atom. For the density, the calculation gives 10.97 Mg/m³.

Geometry as CIF:
```
data_Zr2RuPt
_cell_length_a 3.9908
_cell_length_b 3.9908
_cell_length_c 9.0989
_cell_angle_alpha 90.00
_cell_angle_beta 90.00
_cell_angle_gamma 90.00
_symmetry_space_group_name_H-M 'I -4 m 2'
_symmetry_Int_Tables_number 119
_symmetry_space_group_name_Hall 'I -4 -2'
loop_
_atom_site_label
_atom_site_fract_x
_atom_site_fract_y
_atom_site_fract_z
Zr1 0.0000 0.0000 0.0000
Zr2 0.0000 0.5000 0.2500
Ru1 0.0000 0.0000 0.5000
Pt1 0.0000 0.5000 0.7500
```